a.
SrZrAgAu: optimized geometry, GGA-PBE.

Structure (extended XYZ):
```
16
Lattice="7.250 0.000 0.000 0.000 7.250 0.000 0.000 0.000 7.250" Properties=species:S:1:pos:R:3 pbc="T T T"
Sr 0.000 0.000 0.000
Sr 0.000 3.625 3.625
Sr 3.625 0.000 3.625
Sr 3.625 3.625 0.000
Zr 0.000 0.000 3.625
Zr 0.000 3.625 0.000
Zr 3.625 0.000 0.000
Zr 3.625 3.625 3.625
Ag 1.812 1.812 1.812
Ag 1.812 5.437 5.437
Ag 5.437 1.812 5.437
Ag 5.437 5.437 1.812
Au 1.812 1.812 5.437
Au 1.812 5.437 1.812
Au 5.437 1.812 1.812
Au 5.437 5.437 5.437
```

Output
Calculated density in Mg/m³: 8.43
Total magnetization in μB per cell: 0.094

***

b.
SrZrAgAu: optimized geometry, GGA-PBE.

Structure (extended XYZ):
```
16
Lattice="7.014 0.000 0.000 0.000 7.014 0.000 0.000 0.000 7.014" Properties=species:S:1:pos:R:3 pbc="T T T"
Sr 0.000 0.000 0.000
Sr 0.000 3.507 3.507
Sr 3.507 0.000 3.507
Sr 3.507 3.507 0.000
Zr 1.753 1.753 1.753
Zr 1.753 5.260 5.260
Zr 5.260 1.753 5.260
Zr 5.260 5.260 1.753
Ag 1.753 1.753 5.260
Ag 1.753 5.260 1.753
Ag 5.260 1.753 1.753
Ag 5.260 5.260 5.260
Au 0.000 0.000 3.507
Au 0.000 3.507 0.000
Au 3.507 0.000 0.000
Au 3.507 3.507 3.507
```

Output
Calculated density in Mg/m³: 9.31
Total magnetization in μB per cell: 0.000

***

What should be chosen as the most stable of them? Choose a.

***

a.
TbAgAu: optimized geometry, GGA-PBE.

Structure (extended XYZ):
```
6
Lattice="3.754 0.000 0.000 0.000 3.754 0.000 0.000 0.000 9.132" Properties=species:S:1:pos:R:3 pbc="T T T"
Tb 0.000 0.000 0.000
Tb 1.877 1.877 4.566
Ag 0.000 0.000 3.042
Ag 0.000 0.000 6.090
Au 1.877 1.877 1.525
Au 1.877 1.877 7.607
```

Output
Calculated density in Mg/m³: 11.97
Total magnetization in μB per cell: 0.003

***

b.
TbAgAu: optimized geometry, GGA-PBE.

Structure (extended XYZ):
```
12
Lattice="4.673 0.000 0.000 0.000 9.576 0.000 0.000 0.000 5.884" Properties=species:S:1:pos:R:3 pbc="T T T"
Tb 0.000 1.857 1.471
Tb 0.000 7.719 4.413
Tb 2.337 2.931 4.413
Tb 2.337 6.645 1.471
Ag 0.000 4.788 0.000
Ag 0.000 4.788 2.942
Ag 2.337 0.000 0.000
Ag 2.337 0.000 2.942
Au 0.000 1.137 4.413
Au 0.000 8.439 1.471
Au 2.337 3.651 1.471
Au 2.337 5.925 4.413
```

Output
Calculated density in Mg/m³: 11.70
Total magnetization in μB per cell: 0.029

***

c.
TbAgAu: optimized geometry, GGA-PBE.

Structure (extended XYZ):
```
6
Lattice="3.752 0.000 0.000 0.000 3.752 0.000 0.000 0.000 9.114" Properties=species:S:1:pos:R:3 pbc="T T T"
Tb 0.000 0.000 0.000
Tb 1.876 1.876 4.557
Ag 0.000 0.000 2.978
Ag 1.876 1.876 7.535
Au 0.000 0.000 6.019
Au 1.876 1.876 1.462
```

Output
Calculated density in Mg/m³: 12.00
Total magnetization in μB per cell: 0.003

***

What should be chosen as the most stable of them? Choose b.

***

a.
ThAgAu: optimized geometry, GGA-PBE.

Structure (extended XYZ):
```
3
Lattice="4.836 0.000 0.000 -2.418 4.188 0.000 0.000 0.000 3.406" Properties=species:S:1:pos:R:3 pbc="T T T"
Th 0.000 0.000 0.000
Ag 0.000 2.792 1.703
Au 2.418 1.396 1.703
```

Output
Calculated density in Mg/m³: 12.92
Total magnetization in μB per cell: 0.001

***

b.
ThAgAu: optimized geometry, GGA-PBE.

Structure (extended XYZ):
```
12
Lattice="6.766 0.000 0.000 0.000 6.766 0.000 0.000 0.000 6.766" Properties=species:S:1:pos:R:3 pbc="T T T"
Th 0.000 0.000 0.000
Th 0.000 3.383 3.383
Th 3.383 0.000 3.383
Th 3.383 3.383 0.000
Ag 1.691 1.691 5.074
Ag 1.691 5.074 1.691
Ag 5.074 1.691 1.691
Ag 5.074 5.074 5.074
Au 0.000 0.000 3.383
Au 0.000 3.383 0.000
Au 3.383 0.000 0.000
Au 3.383 3.383 3.383
```

Output
Calculated density in Mg/m³: 11.51
Total magnetization in μB per cell: 0.006

***

What should be chosen as the most stable of them? Choose a.

***

a.
TmAgAu: optimized geometry, GGA-PBE.

Structure (extended XYZ):
```
12
Lattice="6.698 0.000 0.000 0.000 6.698 0.000 0.000 0.000 6.698" Properties=species:S:1:pos:R:3 pbc="T T T"
Tm 0.000 0.000 0.000
Tm 0.000 3.349 3.349
Tm 3.349 0.000 3.349
Tm 3.349 3.349 0.000
Ag 1.675 1.675 5.024
Ag 1.675 5.024 1.675
Ag 5.024 1.675 1.675
Ag 5.024 5.024 5.024
Au 1.675 1.675 1.675
Au 1.675 5.024 5.024
Au 5.024 1.675 5.024
Au 5.024 5.024 1.675
```

Output
Calculated density in Mg/m³: 10.47
Total magnetization in μB per cell: 0.010

***

b.
TmAgAu: optimized geometry, GGA-PBE.

Structure (extended XYZ):
```
6
Lattice="3.689 0.000 0.000 0.000 3.689 0.000 0.000 0.000 9.074" Properties=species:S:1:pos:R:3 pbc="T T T"
Tm 0.000 0.000 0.000
Tm 1.844 1.844 4.537
Ag 0.000 0.000 3.026
Ag 0.000 0.000 6.048
Au 1.844 1.844 1.509
Au 1.844 1.844 7.565
```

Output
Calculated density in Mg/m³: 12.74
Total magnetization in μB per cell: 0.003

***

c.
TmAgAu: optimized geometry, GGA-PBE.

Structure (extended XYZ):
```
6
Lattice="3.697 0.000 0.000 0.000 3.697 0.000 0.000 0.000 9.083" Properties=species:S:1:pos:R:3 pbc="T T T"
Tm 0.924 0.924 2.187
Tm 2.773 2.773 6.896
Ag 0.924 0.924 5.234
Ag 2.773 2.773 3.849
Au 0.924 0.924 8.245
Au 2.773 2.773 0.839
```

Output
Calculated density in Mg/m³: 12.68
Total magnetization in μB per cell: 0.003

***

What should be chosen as the most stable of them? Choose c.

***

a.
UAgAu: optimized geometry, GGA-PBE.

Structure (extended XYZ):
```
12
Lattice="6.584 0.000 0.000 0.000 6.584 0.000 0.000 0.000 6.584" Properties=species:S:1:pos:R:3 pbc="T T T"
U 0.000 0.000 0.000
U 0.000 3.292 3.292
U 3.292 0.000 3.292
U 3.292 3.292 0.000
Ag 1.646 1.646 4.938
Ag 1.646 4.938 1.646
Ag 4.938 1.646 1.646
Ag 4.938 4.938 4.938
Au 0.000 0.000 3.292
Au 0.000 3.292 0.000
Au 3.292 0.000 0.000
Au 3.292 3.292 3.292
```

Output
Calculated density in Mg/m³: 12.63
Total magnetization in μB per cell: 12.385

***

b.
UAgAu: optimized geometry, GGA-PBE.

Structure (extended XYZ):
```
12
Lattice="6.867 0.000 0.000 0.000 6.867 0.000 0.000 0.000 6.867" Properties=species:S:1:pos:R:3 pbc="T T T"
U 0.000 0.000 0.000
U 0.000 3.434 3.434
U 3.434 0.000 3.434
U 3.434 3.434 0.000
Ag 1.717 1.717 5.151
Ag 1.717 5.151 1.717
Ag 5.151 1.717 1.717
Ag 5.151 5.151 5.151
Au 1.717 1.717 1.717
Au 1.717 5.151 5.151
Au 5.151 1.717 5.151
Au 5.151 5.151 1.717
```

Output
Calculated density in Mg/m³: 11.13
Total magnetization in μB per cell: 12.702

***

What should be chosen as the most stable of them? Choose a.

***

a.
YAgAu: optimized geometry, GGA-PBE.

Structure (extended XYZ):
```
6
Lattice="3.736 0.000 0.000 0.000 3.736 0.000 0.000 0.000 9.187" Properties=species:S:1:pos:R:3 pbc="T T T"
Y 0.000 0.000 0.000
Y 1.868 1.868 4.593
Ag 0.000 0.000 3.045
Ag 0.000 0.000 6.142
Au 1.868 1.868 1.542
Au 1.868 1.868 7.644
```

Output
Calculated density in Mg/m³: 10.20
Total magnetization in μB per cell: 0.008

***

b.
YAgAu: optimized geometry, GGA-PBE.

Structure (extended XYZ):
```
6
Lattice="3.746 0.000 0.000 0.000 3.746 0.000 0.000 0.000 9.174" Properties=species:S:1:pos:R:3 pbc="T T T"
Y 0.937 0.937 2.212
Y 2.810 2.810 6.962
Ag 0.937 0.937 5.279
Ag 2.810 2.810 3.895
Au 0.937 0.937 8.338
Au 2.810 2.810 0.836
```

Output
Calculated density in Mg/m³: 10.16
Total magnetization in μB per cell: 0.012

***

c.
YAgAu: optimized geometry, GGA-PBE.

Structure (extended XYZ):
```
6
Lattice="5.280 0.000 0.000 0.000 5.308 0.000 -2.638 0.000 4.583" Properties=species:S:1:pos:R:3 pbc="T T T"
Y -0.001 1.327 2.214
Y 2.643 3.981 2.368
Ag 0.004 3.981 3.918
Ag 2.638 1.327 0.664
Au 0.005 3.981 0.859
Au 2.637 1.327 3.724
```

Output
Calculated density in Mg/m³: 10.18
Total magnetization in μB per cell: 0.006

***

What should be chosen as the most stable of them? Choose c.

***

a.
YAgAu: optimized geometry, GGA-PBE.

Structure (extended XYZ):
```
6
Lattice="3.736 0.000 0.000 0.000 3.736 0.000 0.000 0.000 9.173" Properties=species:S:1:pos:R:3 pbc="T T T"
Y 0.000 0.000 0.000
Y 1.868 1.868 4.586
Ag 0.000 0.000 6.180
Ag 1.868 1.868 1.594
Au 0.000 0.000 3.113
Au 1.868 1.868 7.699
```

Output
Calculated density in Mg/m³: 10.21
Total magnetization in μB per cell: 0.005

***

b.
YAgAu: optimized geometry, GGA-PBE.

Structure (extended XYZ):
```
12
Lattice="6.788 0.000 0.000 0.000 6.788 0.000 0.000 0.000 6.788" Properties=species:S:1:pos:R:3 pbc="T T T"
Y 0.000 0.000 0.000
Y 0.000 3.394 3.394
Y 3.394 0.000 3.394
Y 3.394 3.394 0.000
Ag 1.697 1.697 5.091
Ag 1.697 5.091 1.697
Ag 5.091 1.697 1.697
Ag 5.091 5.091 5.091
Au 1.697 1.697 1.697
Au 1.697 5.091 5.091
Au 5.091 1.697 5.091
Au 5.091 5.091 1.697
```

Output
Calculated density in Mg/m³: 8.36
Total magnetization in μB per cell: 0.000

***

What should be chosen as the most stable of them? Choose a.

***

a.
Y2AgAu2: optimized geometry, GGA-PBE.

Structure (extended XYZ):
```
10
Lattice="4.093 0.000 0.000 0.000 4.093 0.000 0.000 0.000 14.669" Properties=species:S:1:pos:R:3 pbc="T T T"
Y 0.000 0.000 1.592
Y 0.000 0.000 13.077
Y 2.047 2.047 5.743
Y 2.047 2.047 8.927
Ag 0.000 0.000 7.335
Ag 2.047 2.047 0.000
Au 0.000 2.047 3.667
Au 0.000 2.047 11.002
Au 2.047 0.000 3.667
Au 2.047 0.000 11.002
```

Output
Calculated density in Mg/m³: 9.18
Total magnetization in μB per cell: 0.015

***

b.
Y2AgAu2: optimized geometry, GGA-PBE.

Structure (extended XYZ):
```
10
Lattice="7.855 0.000 0.000 0.000 7.855 0.000 0.000 0.000 3.783" Properties=species:S:1:pos:R:3 pbc="T T T"
Y 1.326 2.601 0.000
Y 2.601 6.528 0.000
Y 5.254 1.326 0.000
Y 6.528 5.254 0.000
Ag 0.000 0.000 1.892
Ag 3.927 3.927 1.892
Au 1.033 4.960 1.892
Au 2.895 1.033 1.892
Au 4.960 6.822 1.892
Au 6.822 2.895 1.892
```

Output
Calculated density in Mg/m³: 9.67
Total magnetization in μB per cell: 0.049

***

What should be chosen as the most stable of them? Choose b.

***

a.
YZnAgAu: optimized geometry, GGA-PBE.

Structure (extended XYZ):
```
16
Lattice="6.840 0.000 0.000 0.000 6.840 0.000 0.000 0.000 6.840" Properties=species:S:1:pos:R:3 pbc="T T T"
Y 0.000 0.000 0.000
Y 0.000 3.420 3.420
Y 3.420 0.000 3.420
Y 3.420 3.420 0.000
Zn 0.000 0.000 3.420
Zn 0.000 3.420 0.000
Zn 3.420 0.000 0.000
Zn 3.420 3.420 3.420
Ag 1.710 1.710 1.710
Ag 1.710 5.130 5.130
Ag 5.130 1.710 5.130
Ag 5.130 5.130 1.710
Au 1.710 1.710 5.130
Au 1.710 5.130 1.710
Au 5.130 1.710 1.710
Au 5.130 5.130 5.130
```

Output
Calculated density in Mg/m³: 9.53
Total magnetization in μB per cell: 0.014

***

b.
YZnAgAu: optimized geometry, GGA-PBE.

Structure (extended XYZ):
```
16
Lattice="6.840 0.000 0.000 0.000 6.840 0.000 0.000 0.000 6.840" Properties=species:S:1:pos:R:3 pbc="T T T"
Y 0.000 0.000 0.000
Y 0.000 3.420 3.420
Y 3.420 0.000 3.420
Y 3.420 3.420 0.000
Zn 1.710 1.710 1.710
Zn 1.710 5.130 5.130
Zn 5.130 1.710 5.130
Zn 5.130 5.130 1.710
Ag 0.000 0.000 3.420
Ag 0.000 3.420 0.000
Ag 3.420 0.000 0.000
Ag 3.420 3.420 3.420
Au 1.710 1.710 5.130
Au 1.710 5.130 1.710
Au 5.130 1.710 1.710
Au 5.130 5.130 5.130
```

Output
Calculated density in Mg/m³: 9.53
Total magnetization in μB per cell: 0.005

***

What should be chosen as the most stable of them? Choose a.

***

a.
BeAgB: optimized geometry, GGA-PBE.

Structure (extended XYZ):
```
12
Lattice="5.302 0.000 0.000 0.000 5.302 0.000 0.000 0.000 5.302" Properties=species:S:1:pos:R:3 pbc="T T T"
Be 0.000 0.000 0.000
Be 0.000 2.651 2.651
Be 2.651 0.000 2.651
Be 2.651 2.651 0.000
Ag 1.325 1.325 3.976
Ag 1.325 3.976 1.325
Ag 3.976 1.325 1.325
Ag 3.976 3.976 3.976
B 0.000 0.000 2.651
B 0.000 2.651 0.000
B 2.651 0.000 0.000
B 2.651 2.651 2.651
```

Output
Calculated density in Mg/m³: 5.69

***

b.
BeAgB: optimized geometry, GGA-PBE.

Structure (extended XYZ):
```
12
Lattice="5.187 0.000 0.000 0.000 5.187 0.000 0.000 0.000 5.187" Properties=species:S:1:pos:R:3 pbc="T T T"
Be 0.000 0.000 0.000
Be 0.000 2.594 2.594
Be 2.594 0.000 2.594
Be 2.594 2.594 0.000
Ag 0.000 0.000 2.594
Ag 0.000 2.594 0.000
Ag 2.594 0.000 0.000
Ag 2.594 2.594 2.594
B 1.297 1.297 3.890
B 1.297 3.890 1.297
B 3.890 1.297 1.297
B 3.890 3.890 3.890
```

Output
Calculated density in Mg/m³: 6.08

***

What should be chosen as the most stable of them? Choose b.

***

a.
BeAgB4: optimized geometry, GGA-PBE.

Structure (extended XYZ):
```
6
Lattice="2.975 0.000 0.000 -1.488 2.577 0.000 0.000 0.000 6.926" Properties=species:S:1:pos:R:3 pbc="T T T"
Be 0.000 0.000 0.000
Ag 0.000 0.000 3.463
B 0.000 1.718 1.317
B 0.000 1.718 5.609
B 1.488 0.859 1.317
B 1.488 0.859 5.609
```

Output
Calculated density in Mg/m³: 5.01

***

b.
BeAgB4: optimized geometry, GGA-PBE.

Structure (extended XYZ):
```
12
Lattice="2.985 0.000 0.000 0.000 5.255 0.000 0.000 0.000 6.909" Properties=species:S:1:pos:R:3 pbc="T T T"
Be 0.000 0.000 0.000
Be 1.493 2.628 3.454
Ag 0.000 0.000 3.454
Ag 1.493 2.628 0.000
B 0.000 1.756 1.830
B 0.000 1.756 5.079
B 0.000 3.500 1.830
B 0.000 3.500 5.079
B 1.493 0.872 1.625
B 1.493 0.872 5.284
B 1.493 4.384 1.625
B 1.493 4.384 5.284
```

Output
Calculated density in Mg/m³: 4.91

***

What should be chosen as the most stable of them? Choose a.

***

a.
BeCuAgB: optimized geometry, GGA-PBE.

Structure (extended XYZ):
```
16
Lattice="5.674 0.000 0.000 0.000 5.674 0.000 0.000 0.000 5.674" Properties=species:S:1:pos:R:3 pbc="T T T"
Be 0.000 0.000 0.000
Be 0.000 2.837 2.837
Be 2.837 0.000 2.837
Be 2.837 2.837 0.000
Cu 0.000 0.000 2.837
Cu 0.000 2.837 0.000
Cu 2.837 0.000 0.000
Cu 2.837 2.837 2.837
Ag 1.418 1.418 4.255
Ag 1.418 4.255 1.418
Ag 4.255 1.418 1.418
Ag 4.255 4.255 4.255
B 1.418 1.418 1.418
B 1.418 4.255 4.255
B 4.255 1.418 4.255
B 4.255 4.255 1.418
```

Output
Calculated density in Mg/m³: 6.95

***

b.
BeCuAgB: optimized geometry, GGA-PBE.

Structure (extended XYZ):
```
16
Lattice="5.568 0.000 0.000 0.000 5.568 0.000 0.000 0.000 5.568" Properties=species:S:1:pos:R:3 pbc="T T T"
Be 0.000 0.000 0.000
Be 0.000 2.784 2.784
Be 2.784 0.000 2.784
Be 2.784 2.784 0.000
Cu 1.392 1.392 4.176
Cu 1.392 4.176 1.392
Cu 4.176 1.392 1.392
Cu 4.176 4.176 4.176
Ag 1.392 1.392 1.392
Ag 1.392 4.176 4.176
Ag 4.176 1.392 4.176
Ag 4.176 4.176 1.392
B 0.000 0.000 2.784
B 0.000 2.784 0.000
B 2.784 0.000 0.000
B 2.784 2.784 2.784
```

Output
Calculated density in Mg/m³: 7.36

***

What should be chosen as the most stable of them? Choose b.